The following is a GGA-PBE calculation of crystalline Ba6PdRh at its relaxed geometry, from Alexandria via LeMat-Bulk.

Structure (POSCAR):
```
Ba6PdRh
1.0
3.9259 -6.8155 0.0000
3.9259 6.8155 0.0000
-2.4493 0.0000 7.4550
Ba Pd Rh
6 1 1
direct
0.0845 0.3978 0.2454
0.2477 0.2477 0.7569
0.3978 0.0845 0.2454
0.6022 0.9155 0.7546
0.7523 0.7523 0.2431
0.9155 0.6022 0.7546
0.5000 0.5000 0.5000
0.0000 0.0000 0.0000
```

Computed properties:
- symmetry = C2/m (12)
- density of states at the Fermi level (states/eV/f.u.) = 5.79
- V (Å³ per cell) = 399.0
- offset from the most stable computed form (kJ per mole of atoms) = 0.0
- total magnetization (μB per cell) = 0.000

The following is a GGA-PBE calculation of crystalline BaPd2Rh2 at its relaxed geometry, from Alexandria via LeMat-Bulk.

Structure (POSCAR):
```
BaPd2Rh2
1.0
-2.0508 2.0508 6.1314
2.0508 -2.0508 6.1314
2.0508 2.0508 -6.1314
Ba Pd Rh
1 2 2
direct
0.0000 0.0000 0.0000
0.3895 0.3895 0.0000
0.6105 0.6105 0.0000
0.2500 0.7500 0.5000
0.7500 0.2500 0.5000
```

Computed properties:
- symmetry = I4/mmm (139)
- density of states at the Fermi level (states/eV/f.u.) = 5.74
- V (Å³ per cell) = 103.1
- offset from the most stable computed form (kJ per mole of atoms) = 5.8
- total magnetization (μB per cell) = 1.876

The following is a GGA-PBE calculation of crystalline Ba4Pd2Rh at its relaxed geometry, from Alexandria via LeMat-Bulk.

Structure (POSCAR):
```
Ba4Pd2Rh
1.0
-3.0368 3.0368 7.4170
3.0368 -3.0368 7.4170
3.0368 3.0368 -7.4170
Ba Pd Rh
4 2 1
direct
0.0000 0.5000 0.5000
0.2006 0.2006 0.0000
0.5000 0.0000 0.5000
0.7994 0.7994 0.0000
0.4057 0.4057 0.0000
0.5943 0.5943 0.0000
0.0000 0.0000 0.0000
```

Computed properties:
- symmetry = I4/mmm (139)
- density of states at the Fermi level (states/eV/f.u.) = 5.10
- V (Å³ per cell) = 273.6
- total magnetization (μB per cell) = 0.008

no.,formation energy from the elements (eV per atom)
1,-0.27
2,0.09
3,-0.19